No. 1
VASP calculation (PBE) on a geometry-optimized CrSnSb2Au structure.

Formation energy (no corrections) in eV/atom: 0.35
Total magnetic moment in μB/f.u.: 0.0
Symmetry: No. 123

a = 4.9589 Å, b = 5.0628 Å, c = 4.9589 Å
α = 90.00°, β = 90.00°, γ = 90.00°
Fractional coordinates of all 5 atoms:
Sb 0.5000 0.0000 0.0000
Cr 0.0000 0.0000 0.0000
Sb 0.0000 0.0000 0.5000
Au 0.5000 0.5000 0.5000
Sn 0.0000 0.5000 0.0000



No. 2
VASP calculation (PBE) on a geometry-optimized U5H2Se5 structure.

Total magnetic moment in μB/f.u.: 15.2
Symmetry: No. 12
Energy in eV per atom: -7.43

a = 3.8223 Å, b = 6.9375 Å, c = 10.7470 Å
α = 110.93°, β = 90.00°, γ = 105.99°
Site moments in Bohr magnetons follow the coordinates.
Fractional coordinates of all 12 atoms:
H 0.0677 0.1355 0.8120  -0.02
U 0.0000 0.0000 0.0000  2.71
U 0.3357 0.6714 0.2178  2.60
Se 0.3329 0.6657 0.9484  -0.07
U 0.0920 0.1839 0.3685  2.69
U 0.9080 0.8161 0.6315  2.69
H 0.9323 0.8645 0.1880  -0.02
Se 0.7504 0.5009 0.3612  -0.07
Se 0.5000 0.0000 0.5000  -0.06
Se 0.2496 0.4991 0.6388  -0.07
Se 0.6671 0.3343 0.0516  -0.07
U 0.6643 0.3286 0.7822  2.60



No. 3
VASP calculation (PBE) on a geometry-optimized Sr3CuAg2O6 structure.

Formation energy (no corrections) in eV/atom: -1.30
Total magnetic moment in μB/f.u.: 0.0
Symmetry: No. 164

a = 5.7789 Å, b = 5.7789 Å, c = 6.3707 Å
α = 90.00°, β = 90.00°, γ = 120.00°
Fractional coordinates of all 12 atoms:
Cu 0.0000 0.0000 0.5000
Ag 0.3333 0.6667 0.1058
Sr 0.6667 0.3333 0.3937
Ag 0.6667 0.3333 0.8942
O 0.1599 0.3199 0.3157
O 0.8401 0.6801 0.6843
O 0.1599 0.8401 0.3157
Sr 0.3333 0.6667 0.6063
Sr 0.0000 0.0000 0.0000
O 0.6801 0.8401 0.3157
O 0.8401 0.1599 0.6843
O 0.3199 0.1599 0.6843



No. 4
VASP calculation (PBE) on a geometry-optimized LiCrCu2 structure.

Excess energy over the best structure of this formula in the dataset in meV/atom: 66
Total magnetic moment in μB/f.u.: 0.0
DFT formation energy in kJ/mol of atoms: 23.3
Symmetry: No. 35

a = 2.4275 Å, b = 2.4275 Å, c = 8.6487 Å
α = 90.00°, β = 90.00°, γ = 106.55°
Fractional coordinates of all 4 atoms:
Li 0.0000 0.0000 0.4928
Cr 0.5000 0.5000 0.7598
Cu 0.0000 0.0000 0.0031
Cu 0.5000 0.5000 0.2443